[1]
# Dy5Hg4Pt | Alexandria | PBE | relaxed
# Symmetry: P4/mmm (123)
data_Dy5Hg4Pt
_cell_length_a 3.656
_cell_length_b 3.656
_cell_length_c 18.564
_cell_angle_alpha 90.00
_cell_angle_beta 90.00
_cell_angle_gamma 90.00
_space_group_name_H-M_alt 'P 1'
_space_group_IT_number 1
loop_
_space_group_symop_operation_xyz
'x,y,z'
loop_
_atom_site_label
_atom_site_type_symbol
_atom_site_fract_x
_atom_site_fract_y
_atom_site_fract_z
Dy1 Dy 0.000 0.000 0.000
Dy2 Dy 0.000 0.000 0.206
Dy3 Dy 0.000 0.000 0.412
Dy4 Dy 0.000 0.000 0.588
Dy5 Dy 0.000 0.000 0.794
Hg1 Hg 0.500 0.500 0.103
Hg2 Hg 0.500 0.500 0.305
Hg3 Hg 0.500 0.500 0.695
Hg4 Hg 0.500 0.500 0.897
Pt1 Pt 0.500 0.500 0.500


[2]
# Dy6Hg2Pt | Alexandria | PBE | relaxed
# Symmetry: Immm (71)
# ΔE to the lowest computed polymorph (eV/atom): 0.000
data_Dy6Hg2Pt
_cell_length_a 8.594
_cell_length_b 8.594
_cell_length_c 8.594
_cell_angle_alpha 111.09
_cell_angle_beta 110.01
_cell_angle_gamma 107.34
_space_group_name_H-M_alt 'P 1'
_space_group_IT_number 1
loop_
_space_group_symop_operation_xyz
'x,y,z'
loop_
_atom_site_label
_atom_site_type_symbol
_atom_site_fract_x
_atom_site_fract_y
_atom_site_fract_z
Dy1 Dy 0.076 0.247 0.830
Dy2 Dy 0.230 0.561 0.330
Dy3 Dy 0.230 0.900 0.670
Dy4 Dy 0.316 0.237 0.552
Dy5 Dy 0.316 0.763 0.079
Dy6 Dy 0.417 0.247 0.170
Dy7 Dy 0.583 0.753 0.830
Dy8 Dy 0.684 0.237 0.921
Dy9 Dy 0.684 0.763 0.448
Dy10 Dy 0.770 0.100 0.330
Dy11 Dy 0.770 0.439 0.670
Dy12 Dy 0.924 0.753 0.170
Hg1 Hg 0.000 0.144 0.144
Hg2 Hg 0.000 0.856 0.856
Hg3 Hg 0.147 0.500 0.647
Hg4 Hg 0.853 0.500 0.353
Pt1 Pt 0.500 0.000 0.500
Pt2 Pt 0.500 0.500 0.000


[3]
# Dy5Hg2Pt | Alexandria | PBE | relaxed
# Symmetry: Cmcm (63)
# ΔE to the lowest computed polymorph (eV/atom): 0.244
data_Dy5Hg2Pt
_cell_length_a 6.887
_cell_length_b 6.887
_cell_length_c 12.575
_cell_angle_alpha 90.00
_cell_angle_beta 90.00
_cell_angle_gamma 131.21
_space_group_name_H-M_alt 'P 1'
_space_group_IT_number 1
loop_
_space_group_symop_operation_xyz
'x,y,z'
loop_
_atom_site_label
_atom_site_type_symbol
_atom_site_fract_x
_atom_site_fract_y
_atom_site_fract_z
Dy1 Dy 0.069 0.931 0.606
Dy2 Dy 0.069 0.931 0.894
Dy3 Dy 0.379 0.621 0.568
Dy4 Dy 0.379 0.621 0.932
Dy5 Dy 0.386 0.614 0.250
Dy6 Dy 0.614 0.386 0.750
Dy7 Dy 0.621 0.379 0.068
Dy8 Dy 0.621 0.379 0.432
Dy9 Dy 0.931 0.069 0.106
Dy10 Dy 0.931 0.069 0.394
Hg1 Hg 0.181 0.819 0.124
Hg2 Hg 0.181 0.819 0.376
Hg3 Hg 0.819 0.181 0.624
Hg4 Hg 0.819 0.181 0.876
Pt1 Pt 0.235 0.765 0.750
Pt2 Pt 0.765 0.235 0.250


[4]
# Dy2HgPt | Alexandria | PBE | relaxed
# Symmetry: Fm-3m (225)
# ΔE to the lowest computed polymorph (eV/atom): 0.047
data_Dy2HgPt
_cell_length_a 5.092
_cell_length_b 5.092
_cell_length_c 5.092
_cell_angle_alpha 60.00
_cell_angle_beta 60.00
_cell_angle_gamma 60.00
_space_group_name_H-M_alt 'P 1'
_space_group_IT_number 1
loop_
_space_group_symop_operation_xyz
'x,y,z'
loop_
_atom_site_label
_atom_site_type_symbol
_atom_site_fract_x
_atom_site_fract_y
_atom_site_fract_z
Dy1 Dy 0.250 0.250 0.250
Dy2 Dy 0.750 0.750 0.750
Hg1 Hg 0.000 0.000 0.000
Pt1 Pt 0.500 0.500 0.500


Energy of formation per entry: -0.6338, -0.4379, -0.3440, -0.8198 eV per atom